No. 1
# Ni3CCl

A relaxed Ni3CCl crystal (PBE, Alexandria via LeMat-Bulk).

The structure in CIF format:
```
data_Ni3CCl
_chemical_formula_sum 'Ni3 C1 Cl1'
_space_group_name_H-M_alt 'P m -3 m'
_space_group_IT_number 221
_space_group_name_Hall '-P 4 2 3'
_cell_length_a 3.864
_cell_length_b 3.864
_cell_length_c 3.864
_cell_angle_alpha 90.00
_cell_angle_beta 90.00
_cell_angle_gamma 90.00
loop_
_atom_site_label
_atom_site_type_symbol
_atom_site_fract_x
_atom_site_fract_y
_atom_site_fract_z
Ni1 Ni 0.000 0.000 0.500
C1 C 0.000 0.000 0.000
Cl1 Cl 0.500 0.500 0.500
```

Properties
Excess energy over the best structure of this formula in the dataset: 0.0 meV per atom
E_form (uncorrected): 385 meV/atom



No. 2
# Pr4Dy3HoTe8

A relaxed Pr4Dy3HoTe8 crystal (PBE, Alexandria via LeMat-Bulk).

The structure in CIF format:
```
data_Pr4Dy3HoTe8
_chemical_formula_sum 'Pr12 Dy9 Ho3 Te24'
_space_group_name_H-M_alt 'R -3 m'
_space_group_IT_number 166
_space_group_name_Hall '-R 3 2"'
_cell_length_a 8.7664
_cell_length_b 8.7664
_cell_length_c 22.3372
_cell_angle_alpha 90.00
_cell_angle_beta 90.00
_cell_angle_gamma 120.00
loop_
_atom_site_label
_atom_site_type_symbol
_atom_site_fract_x
_atom_site_fract_y
_atom_site_fract_z
Pr1 Pr 0.0000 0.0000 0.0000
Pr2 Pr 0.0000 0.5000 0.0000
Dy1 Dy 0.0000 0.5000 0.5000
Ho1 Ho 0.0000 0.0000 0.5000
Te1 Te 0.0000 0.0000 0.2449
Te2 Te 0.0008 0.5004 0.2447
```

Properties
E_form (uncorrected): -1359 meV/atom



No. 3
# Ce2BeH6

A relaxed Ce2BeH6 crystal (PBE, Alexandria via LeMat-Bulk).

The structure in CIF format:
```
data_Ce2BeH6
_chemical_formula_sum 'Ce4 Be2 H12'
_space_group_name_H-M_alt 'P 1 21/c 1'
_space_group_IT_number 14
_space_group_name_Hall '-P 2ybc'
_cell_length_a 4.011
_cell_length_b 6.899
_cell_length_c 7.602
_cell_angle_alpha 90.00
_cell_angle_beta 119.67
_cell_angle_gamma 90.00
loop_
_atom_site_label
_atom_site_type_symbol
_atom_site_fract_x
_atom_site_fract_y
_atom_site_fract_z
Ce1 Ce 0.248 0.167 0.250
Be1 Be 0.500 0.000 0.000
H1 H 0.234 0.610 0.563
H2 H 0.248 0.507 0.262
H3 H 0.392 0.662 0.886
```



no.,total magnetization (μB/cell),total DFT energy (no corrections) (eV/cell)
1,0.0,-26.49
2,0.0,-253.12
3,2.1,-77.86